VASP calculation (PBE) on a relaxed AlAgGe crystal.

Calculated density ... 6114 kg/m³
DFT formation energy ... 0.0999 eV per atom
Space group ... Pnma
Total magnetic moment ... 0.00 μB/f.u.
Electronic total energy ... -3.637 eV per atom

Cell: 7.0603 4.7173 6.7679 Å, 90.00 90.00 90.00°
Last column: nearest neighbours and their distance in Å.
Element x y z (fractional)
Al 0.0959 0.2500 0.2031  4 Ge 2.59-2.72, 4 Ag 2.79-2.84
Al 0.4041 0.7500 0.7031  4 Ge 2.59-2.72, 4 Ag 2.79-2.84
Al 0.5959 0.2500 0.2969  4 Ge 2.59-2.72, 4 Ag 2.79-2.84
Al 0.9041 0.7500 0.7969  4 Ge 2.59-2.72, 4 Ag 2.79-2.84
Ag 0.1025 0.7500 0.4367  4 Ge 2.77-2.92, 4 Al 2.79-2.84, 2 Ag 2.90
Ag 0.3975 0.2500 0.9367  4 Ge 2.77-2.92, 4 Al 2.79-2.84, 2 Ag 2.90
Ag 0.6025 0.7500 0.0633  4 Ge 2.77-2.92, 4 Al 2.79-2.84, 2 Ag 2.90
Ag 0.8975 0.2500 0.5633  4 Ge 2.77-2.92, 4 Al 2.79-2.84, 2 Ag 2.90
Ge 0.1896 0.7500 0.0377  4 Al 2.59-2.72, 3 Ag 2.77-2.86
Ge 0.3104 0.2500 0.5377  4 Al 2.59-2.72, 3 Ag 2.77-2.86
Ge 0.6896 0.7500 0.4623  4 Al 2.59-2.72, 3 Ag 2.77-2.86
Ge 0.8104 0.2500 0.9623  4 Al 2.59-2.72, 3 Ag 2.77-2.86

---

VASP calculation (PBE) on a relaxed AlNi6W crystal.

Calculated density ... 10008 kg/m³
DFT formation energy ... -0.2633 eV per atom
Space group ... P4/mmm
Total magnetic moment ... 0.00 μB/f.u.
Electronic total energy ... -6.686 eV per atom

Cell: 3.6095 3.6095 7.1697 Å, 90.00 90.00 90.00°
Last column: nearest neighbours and their distance in Å.
Element x y z (fractional)
Al 0.0000 0.0000 0.0000  12 Ni 2.55
Ni 0.0000 0.5000 0.2505  2 W 2.54, 8 Ni 2.54-2.55, 2 Al 2.55
Ni 0.0000 0.5000 0.7495  2 W 2.54, 8 Ni 2.54-2.55, 2 Al 2.55
Ni 0.5000 0.0000 0.2505  2 W 2.54, 8 Ni 2.54-2.55, 2 Al 2.55
Ni 0.5000 0.0000 0.7495  2 W 2.54, 8 Ni 2.54-2.55, 2 Al 2.55
Ni 0.5000 0.5000 0.0000  8 Ni 2.55, 4 Al 2.55
Ni 0.5000 0.5000 0.5000  8 Ni 2.54, 4 W 2.55
W 0.0000 0.0000 0.5000  12 Ni 2.54-2.55

---

VASP calculation (PBE) on a relaxed CsAg2Se2 crystal.

Calculated density ... 6690 kg/m³
ΔE_f (raw) ... -0.193 eV per atom
Space group ... P4/mbm
Total magnetic moment ... 0.00 μB/f.u.
Electronic total energy ... -2.898 eV per atom

Cell: 8.7260 8.7260 3.3027 Å, 90.00 90.00 90.00°
Last column: nearest neighbours and their distance in Å.
Element x y z (fractional)
Cs 0.0000 0.0000 0.0000  2 Cs 3.30, 4 Ag 3.49, 8 Se 3.64
Cs 0.5000 0.5000 0.0000  2 Cs 3.30, 4 Ag 3.49, 8 Se 3.64
Ag 0.1172 0.3828 0.0000  1 Ag 2.89, 6 Se 3.03-3.12
Ag 0.3828 0.8828 0.0000  1 Ag 2.89, 6 Se 3.03-3.12
Ag 0.6172 0.1172 0.0000  1 Ag 2.89, 6 Se 3.03-3.12
Ag 0.8828 0.6172 0.0000  1 Ag 2.89, 6 Se 3.03-3.12
Se 0.1686 0.6686 0.5000  6 Ag 3.03-3.12, 2 Se 3.30
Se 0.3314 0.1686 0.5000  6 Ag 3.03-3.12, 2 Se 3.30
Se 0.6686 0.8314 0.5000  6 Ag 3.03-3.12, 2 Se 3.30
Se 0.8314 0.3314 0.5000  6 Ag 3.03-3.12, 2 Se 3.30